No. 1
A relaxed structure of CaPu8Rh6. Source: Alexandria, functional GGA-PBE.

Cell: 6.276 6.276 9.466 Å, 70.64 70.64 60.00°
Fractional positions:
Rh1 0.138 0.671 0.787
Rh2 0.329 0.596 0.213
Rh3 0.404 0.138 0.787
Rh4 0.596 0.862 0.213
Rh5 0.862 0.329 0.213
Rh6 0.671 0.404 0.787
Pu1 0.478 0.815 0.569
Pu2 0.313 0.313 0.060
Pu3 0.862 0.522 0.431
Pu4 0.185 0.862 0.431
Pu5 0.687 0.687 0.940
Pu6 0.522 0.185 0.431
Pu7 0.138 0.478 0.569
Pu8 0.815 0.138 0.569
Ca1 0.000 0.000 0.000

Summary:
Final energy: -10.842 eV/atom

=====

No. 2
A relaxed structure of CaPu4Rh5. Source: Alexandria, functional GGA-PBE.

Cell: 3.367 3.367 17.816 Å, 90.00 90.00 90.00°
Fractional positions:
Rh1 0.500 0.500 0.300
Rh2 0.500 0.500 0.700
Rh3 0.500 0.500 0.890
Rh4 0.500 0.500 0.110
Rh5 0.500 0.500 0.500
Pu1 0.000 0.000 0.598
Pu2 0.000 0.000 0.799
Pu3 0.000 0.000 0.402
Pu4 0.000 0.000 0.201
Ca1 0.000 0.000 0.000

Summary:
Final energy: -10.009 eV/atom

=====

No. 3
A relaxed structure of Ca5PuRh6. Source: Alexandria, functional GGA-PBE.

Cell: 4.833 6.894 7.643 Å, 90.00 71.48 90.00°
Fractional positions:
Ca1 0.673 0.000 0.655
Ca2 0.000 0.500 0.000
Ca3 0.333 0.500 0.334
Ca4 0.667 0.500 0.666
Ca5 0.327 0.000 0.345
Pu1 0.000 0.000 0.000
Rh1 0.846 0.234 0.307
Rh2 0.500 0.773 0.000
Rh3 0.846 0.766 0.307
Rh4 0.154 0.766 0.693
Rh5 0.500 0.227 0.000
Rh6 0.154 0.234 0.693

Summary:
Final energy: -6.074 eV/atom

=====

No. 4
A relaxed structure of CaPu3Rh3. Source: Alexandria, functional GGA-PBE.

Cell: 7.457 7.457 7.457 Å, 90.00 90.00 90.00°
Fractional positions:
Pu1 0.500 0.000 0.250
Pu2 0.250 0.500 0.000
Pu3 0.000 0.750 0.500
Pu4 0.500 0.000 0.750
Pu5 0.000 0.250 0.500
Pu6 0.750 0.500 0.000
Ca1 0.000 0.000 0.000
Ca2 0.500 0.500 0.500
Rh1 0.500 0.750 0.000
Rh2 0.000 0.500 0.750
Rh3 0.750 0.000 0.500
Rh4 0.000 0.500 0.250
Rh5 0.250 0.000 0.500
Rh6 0.500 0.250 0.000

Summary:
Polymorph energy (0 for the lowest one): 0.240 eV per atom

=====

No. 5
A relaxed structure of CaPu2Rh2. Source: Alexandria, functional GGA-PBE.

Cell: 5.912 7.690 6.454 Å, 65.34 56.91 60.56°
Fractional positions:
Rh1 0.333 0.852 0.917
Rh2 0.668 0.147 0.602
Rh3 0.667 0.148 0.083
Rh4 0.332 0.853 0.398
Pu1 0.665 0.508 0.164
Pu2 0.123 0.194 0.092
Pu3 0.335 0.492 0.836
Pu4 0.877 0.806 0.908
Ca1 0.138 0.235 0.565
Ca2 0.862 0.765 0.435

Summary:
Polymorph energy (0 for the lowest one): 0.066 eV per atom

=====

No. 6
A relaxed structure of CaPuRh. Source: Alexandria, functional GGA-PBE.

Cell: 4.833 4.833 4.833 Å, 60.00 60.00 60.00°
Fractional positions:
Rh1 0.250 0.250 0.250
Ca1 0.500 0.500 0.500
Pu1 0.000 0.000 0.000

Summary:
Polymorph energy (0 for the lowest one): 0.332 eV per atom

=====

no.,calculated density (g/cm³),total magnetic moment (μB/f.u.)
1,14.5,8.652
2,12.6,0.329
3,7.3,3.886
4,8.7,15.335
5,11.6,0.456
6,8.1,5.453